# meta-GGA SCAN SrAgIr2, PBEsol geometry
# total DFT energy (no corrections): -48.541 eV per atom
data_SrAgIr2
_chemical_formula_sum 'Sr1 Ag1 Ir2'
_space_group_name_H-M_alt 'P m m m'
_space_group_IT_number 47
_space_group_name_Hall '-P 2 2'
_cell_length_a 2.9494
_cell_length_b 4.8641
_cell_length_c 4.8996
_cell_angle_alpha 90.00
_cell_angle_beta 90.00
_cell_angle_gamma 90.00
loop_
_atom_site_label
_atom_site_type_symbol
_atom_site_fract_x
_atom_site_fract_y
_atom_site_fract_z
Sr1 Sr 0.0000 0.0000 0.0000
Ag1 Ag 0.5000 0.5000 0.0000
Ir1 Ir 0.0000 0.5000 0.5000
Ir2 Ir 0.5000 0.0000 0.5000

=====

# meta-GGA SCAN VTe2, PBEsol geometry
# total DFT energy (no corrections): -30.994 eV per atom
# raw formation energy: -0.330 eV per atom
data_VTe2
_chemical_formula_sum 'V6 Te12'
_space_group_name_H-M_alt 'C 1 2/m 1'
_space_group_IT_number 12
_space_group_name_Hall '-C 2y'
_cell_length_a 14.1153
_cell_length_b 3.5203
_cell_length_c 9.0170
_cell_angle_alpha 90.00
_cell_angle_beta 110.72
_cell_angle_gamma 90.00
loop_
_atom_site_label
_atom_site_type_symbol
_atom_site_fract_x
_atom_site_fract_y
_atom_site_fract_z
V1 V 0.0000 0.0000 0.0000
V2 V 0.1376 0.5000 0.2904
Te1 Te 0.0049 0.0000 0.3053
Te2 Te 0.1470 0.5000 0.0149
Te3 Te 0.2060 0.5000 0.6174

=====

Which of these has the lowest total DFT energy (no corrections)? SrAgIr2

=====

What is the total DFT energy (no corrections) in the second record? -30.994 eV per atom

=====

Among the records above, which one has the highest total DFT energy (no corrections)? VTe2

=====

What is the total DFT energy (no corrections) in the second record? -30.994 eV per atom